No. 1
Computed, not measured: a relaxed structure of MgCu2SnSe4 at the PBE level of DFT.

Computed properties:
Electronic total energy   -31.09 eV for the cell shown

a b c (Å): 5.846 5.846 5.745
angles (deg): 90.00 90.00 90.00
Atoms (fractional coordinates):
Mg1 0.000 0.000 0.000
Cu1 0.000 0.500 0.500
Sn1 0.500 0.500 0.000
Se1 0.247 0.247 0.276
Cu2 0.500 0.000 0.500
Se2 0.753 0.247 0.724
Se3 0.753 0.753 0.276
Se4 0.247 0.753 0.724

No. 2
Computed, not measured: a relaxed structure of TbMgCuTeSe2 at the PBE level of DFT.

Computed properties:
Electronic total energy   -52.58 eV for the cell shown

a b c (Å): 6.976 6.976 10.983
angles (deg): 90.00 90.00 147.30
Atoms (fractional coordinates):
Mg1 0.299 0.701 0.250
Se1 0.859 0.141 0.081
Te1 0.388 0.612 0.750
Se2 0.141 0.859 0.581
Cu1 0.979 0.021 0.250
Se3 0.141 0.859 0.919
Se4 0.859 0.141 0.419
Tb1 0.500 0.500 0.000
Tb2 0.500 0.500 0.500
Te2 0.612 0.388 0.250
Mg2 0.701 0.299 0.750
Cu2 0.021 0.979 0.750

No. 3
Computed, not measured: a relaxed structure of TmMgCuTe2Se at the PBE level of DFT.

Computed properties:
Electronic total energy   -49.28 eV for the cell shown

a b c (Å): 7.131 7.131 10.638
angles (deg): 90.00 90.00 147.03
Atoms (fractional coordinates):
Te1 0.348 0.652 0.427
Te2 0.348 0.652 0.073
Tm1 0.000 0.000 0.500
Tm2 0.000 0.000 0.000
Cu1 0.518 0.482 0.750
Mg1 0.743 0.257 0.250
Se1 0.092 0.908 0.250
Cu2 0.482 0.518 0.250
Mg2 0.257 0.743 0.750
Te3 0.652 0.348 0.573
Te4 0.652 0.348 0.927
Se2 0.908 0.092 0.750

No. 4
Computed, not measured: a relaxed structure of YMgCuTe2Se at the PBE level of DFT.

Computed properties:
Electronic total energy   -53.53 eV for the cell shown

a b c (Å): 7.121 7.121 10.753
angles (deg): 90.00 90.00 146.88
Atoms (fractional coordinates):
Te1 0.154 0.846 0.076
Y1 0.500 0.500 0.500
Mg1 0.757 0.243 0.250
Te2 0.846 0.154 0.576
Cu1 0.981 0.019 0.750
Te3 0.846 0.154 0.924
Se1 0.407 0.592 0.250
Te4 0.154 0.846 0.424
Cu2 0.019 0.981 0.250
Mg2 0.243 0.757 0.750
Y2 0.500 0.500 0.000
Se2 0.592 0.407 0.750